Sc2Bi2H3 (PBE-GGA, relaxed); crystal system = monoclinic; space group = C2/m (12)
1.0
11.443 0.000 0.000
0.000 3.371 0.000
-3.977 0.000 5.861
Sc Bi H
4 4 6
direct
0.147 0.000 0.252 Sc
0.353 0.500 0.748 Sc
0.647 0.500 0.252 Sc
0.853 0.000 0.748 Sc
0.131 0.000 0.762 Bi
0.369 0.500 0.238 Bi
0.631 0.500 0.762 Bi
0.869 0.000 0.238 Bi
0.000 0.500 0.000 H
0.174 0.500 0.428 H
0.326 0.000 0.572 H
0.500 0.000 0.000 H
0.674 0.000 0.428 H
0.826 0.500 0.572 H


TbTiCuOs (PBE-GGA, relaxed); crystal system = cubic; calculated formation energy = -0.57 eV/f.u.; space group = F-43m (216)
1.0
6.548 0.000 0.000
0.000 6.548 0.000
0.000 0.000 6.548
Tb Ti Cu Os
4 4 4 4
direct
0.000 0.000 0.000 Tb
0.000 0.500 0.500 Tb
0.500 0.000 0.500 Tb
0.500 0.500 0.000 Tb
0.000 0.000 0.500 Ti
0.000 0.500 0.000 Ti
0.500 0.000 0.000 Ti
0.500 0.500 0.500 Ti
0.250 0.250 0.250 Cu
0.250 0.750 0.750 Cu
0.750 0.250 0.750 Cu
0.750 0.750 0.250 Cu
0.250 0.250 0.750 Os
0.250 0.750 0.250 Os
0.750 0.250 0.250 Os
0.750 0.750 0.750 Os


ErTm4Tl7 (PBE-GGA, relaxed); crystal system = monoclinic; calculated formation energy = -0.85 eV/f.u.; space group = C2/m (12)
1.0
6.761 -2.812 0.000
6.761 2.812 0.000
-6.214 0.000 9.326
Er Tm Tl
1 4 7
direct
0.000 0.000 0.000 Er
0.283 0.283 0.674 Tm
0.417 0.417 0.216 Tm
0.583 0.583 0.784 Tm
0.717 0.717 0.326 Tm
0.082 0.082 0.329 Tl
0.213 0.213 0.894 Tl
0.366 0.366 0.452 Tl
0.500 0.500 0.000 Tl
0.634 0.634 0.548 Tl
0.787 0.787 0.106 Tl
0.918 0.918 0.671 Tl


LiCa3Zn4 (PBE-GGA, relaxed); crystal system = tetragonal; calculated formation energy = -1.54 eV/f.u.; space group = P4/mmm (123)
1.0
3.553 0.000 0.000
0.000 3.553 0.000
0.000 0.000 14.346
Li Ca Zn
1 3 4
direct
0.000 0.000 0.000 Li
0.000 0.000 0.236 Ca
0.000 0.000 0.500 Ca
0.000 0.000 0.764 Ca
0.500 0.500 0.095 Zn
0.500 0.500 0.367 Zn
0.500 0.500 0.633 Zn
0.500 0.500 0.905 Zn


Number 1: energy -4.7827 eV/atom. Number 2: energy -7.1043 eV/atom. Number 3: energy -3.3216 eV/atom. Number 4: energy -1.8189 eV/atom.